(1)
The following is a DFT calculation (GGA-PBE) of crystalline CaAc4Tb at its relaxed geometry.

a = 3.962 Å, b = 3.962 Å, c = 16.165 Å
α = 90.00°, β = 90.00°, γ = 90.00°
Positions (direct):
Ca: 0.000 0.000 0.000
Ac: 0.000 0.000 0.345
Ac: 0.000 0.000 0.655
Ac: 0.500 0.500 0.176
Ac: 0.500 0.500 0.824
Tb: 0.500 0.500 0.500

Calculated values
symmetry	No. 123
formation enthalpy at 0 K	0.036	eV/atom

(2)
The following is a DFT calculation (GGA-PBE) of crystalline LiReI2 at its relaxed geometry.

a = 4.884 Å, b = 4.884 Å, c = 4.884 Å
α = 60.00°, β = 60.00°, γ = 60.00°
Positions (direct):
Li: 0.000 0.000 0.000
Re: 0.500 0.500 0.500
I: 0.250 0.250 0.250
I: 0.750 0.750 0.750

Calculated values
symmetry	No. 225
formation energy without anion corrections	0.762	eV/atom

(3)
The following is a DFT calculation (GGA-PBE) of crystalline CsKRb6 at its relaxed geometry.

a = 9.019 Å, b = 9.032 Å, c = 9.032 Å
α = 90.40°, β = 91.63°, γ = 91.84°
Positions (direct):
Cs: 0.000 0.000 0.000
K: 0.500 0.500 0.500
Rb: 0.002 0.745 0.499
Rb: 0.255 0.505 0.999
Rb: 0.497 0.000 0.745
Rb: 0.503 0.000 0.255
Rb: 0.745 0.495 0.001
Rb: 0.998 0.255 0.501

Calculated values
symmetry	No. 2
formation enthalpy at 0 K	0.016	eV/atom

(4)
The following is a DFT calculation (GGA-PBE) of crystalline HoErTh2Sb4 at its relaxed geometry.

a = 7.638 Å, b = 4.448 Å, c = 7.703 Å
α = 90.00°, β = 109.71°, γ = 90.00°
Positions (direct):
Ho: 0.000 0.000 0.000
Er: 0.000 0.500 0.500
Th: 0.500 0.000 0.500
Th: 0.500 0.500 0.000
Sb: 0.239 0.000 0.746
Sb: 0.239 0.500 0.247
Sb: 0.761 0.000 0.254
Sb: 0.761 0.500 0.753

Calculated values
symmetry	No. 10
formation energy without anion corrections	-1.006	eV/atom

(5)
The following is a DFT calculation (GGA-PBE) of crystalline Nd3Er3Cd at its relaxed geometry.

a = 9.516 Å, b = 9.516 Å, c = 5.568 Å
α = 90.00°, β = 90.00°, γ = 120.00°
Positions (direct):
Nd: 0.106 0.633 0.250
Nd: 0.367 0.473 0.250
Nd: 0.473 0.106 0.750
Nd: 0.527 0.894 0.250
Nd: 0.633 0.527 0.750
Nd: 0.894 0.367 0.750
Er: 0.057 0.822 0.750
Er: 0.178 0.234 0.750
Er: 0.234 0.057 0.250
Er: 0.766 0.943 0.750
Er: 0.822 0.766 0.250
Er: 0.943 0.178 0.250
Cd: 0.333 0.667 0.750
Cd: 0.667 0.333 0.250

Calculated values
symmetry	No. 176
formation enthalpy at 0 K	-0.039	eV/atom

(6)
The following is a DFT calculation (GGA-PBE) of crystalline La2NbOs at its relaxed geometry.

a = 6.684 Å, b = 6.684 Å, c = 6.684 Å
α = 100.57°, β = 100.57°, γ = 129.27°
Positions (direct):
La: 0.065 0.625 0.940
La: 0.375 0.315 0.440
La: 0.685 0.125 0.060
La: 0.875 0.935 0.560
Nb: 0.250 0.750 0.500
Nb: 0.500 0.500 0.000
Os: 0.000 0.000 0.000
Os: 0.750 0.250 0.500

Calculated values
symmetry	No. 122
formation enthalpy at 0 K	0.650	eV/atom

Total moment for the records above, in order: 0.0 0.0 0.0 0.0 0.0 0.0 μB/f.u.
N(E_F) for the records above, in order: 9.96 1.89 6.04 4.25 10.60 5.40 states/eV/f.u.
Electronic total energy for the records above, in order: -3.808 -3.604 -0.954 -6.064 -4.168 -7.139 eV per atom